No. 1
Pm2Pr5Ga4: optimized geometry, PBE.

For the total energy, the calculation gives -97.0 eV per cell. The density of states at the Fermi level comes out at 18.8 states/eV per cell.

The structure belongs to space group Immm (No. 71); the cell edges are 4.161, 7.770 and 20.884 Å and the angles 90.00°, 90.00° and 90.00°. The distinct sites, in fractional coordinates, are Pm at (0.000, 0.000, 0.075), Pr at (0.000, 0.223, 0.338), Pr at (0.000, 0.500, 0.000), Ga at (0.000, 0.000, 0.216) and Ga at (0.000, 0.290, 0.500).

---

No. 2
PmPr5Ga4: optimized geometry, PBE.

For the total energy, the calculation gives -87.1 eV per cell. The density of states at the Fermi level comes out at 17.0 states/eV per cell.

The structure belongs to space group Pmmn (No. 59, origin choice 2); the cell edges are 7.890, 8.947 and 8.480 Å and the angles 90.00°, 90.00° and 90.00°. The distinct sites, in fractional coordinates, are Pm at (0.250, 0.250, 0.151), Pr at (0.005, 0.053, 0.771), Pr at (0.250, 0.750, 0.576), Ga at (0.096, 0.750, 0.938) and Ga at (0.250, 0.101, 0.484).

---

No. 3
Pm2Pr3Ga3: optimized geometry, PBE.

For the total energy, the calculation gives -72.2 eV per cell. The density of states at the Fermi level comes out at 12.7 states/eV per cell.

The structure belongs to space group Immm (No. 71); the cell edges are 3.782, 5.324 and 22.341 Å and the angles 90.00°, 90.00° and 90.00°. The distinct sites, in fractional coordinates, are Pm at (0.000, 0.000, 0.227), Pr at (0.000, 0.000, 0.000), Pr at (0.000, 0.500, 0.116), Ga at (0.000, 0.000, 0.500) and Ga at (0.000, 0.500, 0.381).

---

No. 4
Pm2PrGa: optimized geometry, PBE.

The energy above the lowest structure with this stoichiometry comes out at 0.000 eV/atom. The density of states at the Fermi level comes out at 3.9 states/eV per cell.

The structure belongs to space group P4/mmm (No. 123); the cell edges are 3.616, 3.616 and 9.190 Å and the angles 90.00°, 90.00° and 90.00°. The distinct sites, in fractional coordinates, are Pm at (0.000, 0.000, 0.206), Pr at (0.500, 0.500, 0.500) and Ga at (0.500, 0.500, 0.000).

---

No. 5
PmPr2Ga3: optimized geometry, PBE.

For the total energy, the calculation gives -106.8 eV per cell. The density of states at the Fermi level comes out at 11.2 states/eV per cell.

The structure belongs to space group Cmmm (No. 65); the cell edges are 5.240, 15.742 and 7.410 Å and the angles 90.00°, 90.00° and 90.00°. The distinct sites, in fractional coordinates, are Pm at (0.000, 0.167, 0.000), Pr at (0.000, 0.166, 0.500), Pr at (0.000, 0.500, 0.000), Pr at (0.000, 0.500, 0.500), Ga at (0.000, 0.000, 0.246) and Ga at (0.000, 0.332, 0.246).

---

No. 6
PmPr3Ga3: optimized geometry, PBE.

For the total energy, the calculation gives -124.4 eV per cell. The density of states at the Fermi level comes out at 23.2 states/eV per cell.

The structure belongs to space group Cmmm (No. 65); the cell edges are 10.447, 10.598 and 7.129 Å and the angles 90.00°, 90.00° and 90.00°. The distinct sites, in fractional coordinates, are Pm at (0.000, 0.245, 0.000), Pr at (0.000, 0.257, 0.500), Pr at (0.234, 0.500, 0.000), Pr at (0.247, 0.000, 0.500), Ga at (0.000, 0.000, 0.242) and Ga at (0.250, 0.250, 0.244).

---

No. 7
Pm4PrGa: optimized geometry, PBE.

The energy above the lowest structure with this stoichiometry comes out at 0.000 eV/atom. The density of states at the Fermi level comes out at 8.2 states/eV per cell.

The structure belongs to space group P4/mmm (No. 123); the cell edges are 3.661, 3.661 and 14.178 Å and the angles 90.00°, 90.00° and 90.00°. The distinct sites, in fractional coordinates, are Pm at (0.000, 0.000, 0.130), Pm at (0.500, 0.500, 0.315), Pr at (0.000, 0.000, 0.500) and Ga at (0.500, 0.500, 0.000).

---

No. 8
Pm5PrGa3: optimized geometry, PBE.

For the total energy, the calculation gives -81.7 eV per cell. The density of states at the Fermi level comes out at 22.0 states/eV per cell.

The structure belongs to space group P6_3/mcm (No. 193); the cell edges are 9.1765, 9.1765 and 6.8070 Å and the angles 90.00°, 90.00° and 120.00°. The distinct sites, in fractional coordinates, are Pm at (0.0000, 0.3305, 0.2500), Pm at (0.3333, 0.6667, 0.0000), Pr at (0.0000, 0.0000, 0.0000) and Ga at (0.0000, 0.3387, 0.7500).

---

No. 9
Pm2PrGa2: optimized geometry, PBE.

The energy above the lowest structure with this stoichiometry comes out at 0.000 eV/atom. The density of states at the Fermi level comes out at 10.6 states/eV per cell.

The structure belongs to space group P4/mbm (No. 127); the cell edges are 7.846, 7.846 and 4.508 Å and the angles 90.00°, 90.00° and 90.00°. The distinct sites, in fractional coordinates, are Pm at (0.174, 0.326, 0.000), Pr at (0.000, 0.000, 0.500) and Ga at (0.117, 0.617, 0.500).

---

No. 10
Pm2PrGa6: optimized geometry, PBE.

The energy above the lowest structure with this stoichiometry comes out at 0.000 eV/atom. The density of states at the Fermi level comes out at 5.6 states/eV per cell.

The structure belongs to space group P6/mmm (No. 191); the cell edges are 7.3989, 7.3989 and 4.2960 Å and the angles 90.00°, 90.00° and 120.00°. The distinct sites, in fractional coordinates, are Pm at (0.3333, 0.6667, 0.0000), Pr at (0.0000, 0.0000, 0.0000) and Ga at (0.0000, 0.3340, 0.5000).

---

No. 11
PmPrGa3: optimized geometry, PBE.

For the total energy, the calculation gives -87.6 eV per cell. The density of states at the Fermi level comes out at 14.2 states/eV per cell.

The structure belongs to space group Cmcm (No. 63); the cell edges are 4.377, 26.194 and 4.254 Å and the angles 90.00°, 90.00° and 90.00°. The distinct sites, in fractional coordinates, are Pm at (0.000, 0.203, 0.250), Pr at (0.000, 0.073, 0.750), Ga at (0.000, 0.326, 0.250), Ga at (0.000, 0.381, 0.750) and Ga at (0.000, 0.476, 0.750).

---

No. 12
Pm2PrGa: optimized geometry, PBE.

The energy above the lowest structure with this stoichiometry comes out at 0.208 eV/atom. The density of states at the Fermi level comes out at 26.1 states/eV per cell.

The structure belongs to space group Fm-3m (No. 225); the cell edges are 7.741, 7.741 and 7.741 Å and the angles 90.00°, 90.00° and 90.00°. The distinct sites, in fractional coordinates, are Pm at (0.250, 0.250, 0.250), Pr at (0.000, 0.000, 0.000) and Ga at (0.000, 0.000, 0.500).

---

Question: density of states at the Fermi level of number 9 (Pm2PrGa2)?
Answer: 10.6 states/eV per cell

---

What did the third record say?
Pm2Pr3Ga3: optimized geometry, PBE.

For the total energy, the calculation gives -72.2 eV per cell. The density of states at the Fermi level comes out at 12.7 states/eV per cell.

The structure belongs to space group Immm (No. 71); the cell edges are 3.782, 5.324 and 22.341 Å and the angles 90.00°, 90.00° and 90.00°. The distinct sites, in fractional coordinates, are Pm at (0.000, 0.000, 0.227), Pr at (0.000, 0.000, 0.000), Pr at (0.000, 0.500, 0.116), Ga at (0.000, 0.000, 0.500) and Ga at (0.000, 0.500, 0.381).

---

Question: Which value of density of states at the Fermi level does entry 8 give?
Answer: 22.0 states/eV per cell